Record 1
Here is crystalline YC3 at its relaxed geometry from the Alexandria database. Energies are from PBE.

Lattice parameters (Å, degrees): 3.5526 3.5526 3.5526 90.00 90.00 90.00
With the nearest neighbours (Å) after each atom.
Sites, in units of the cell vectors:
Y 0.0000 0.0000 0.0000  12 C 2.51
C 0.0000 0.5000 0.5000  8 C 2.51, 4 Y 2.51
C 0.5000 0.0000 0.5000  8 C 2.51, 4 Y 2.51
C 0.5000 0.5000 0.0000  8 C 2.51, 4 Y 2.51

The space group is No. 221. The calculation puts the energy of formation at 818 kJ/mol of formula units.

=====

Record 2
Here is crystalline SrPm2MnN4 at its relaxed geometry from the Alexandria database. Energies are from PBE.

Lattice parameters (Å, degrees): 6.3199 6.3199 12.0202 90.00 90.00 147.51
With the nearest neighbours (Å) after each atom.
Sites, in units of the cell vectors:
Sr 0.1001 0.8999 0.7500  6 N 2.85-3.06
Sr 0.8999 0.1001 0.2500  6 N 2.85-3.06
Pm 0.3692 0.6308 0.5429  6 N 2.43-2.59
Pm 0.3692 0.6308 0.9571  6 N 2.43-2.59
Pm 0.6308 0.3692 0.0429  6 N 2.43-2.59
Pm 0.6308 0.3692 0.4571  6 N 2.43-2.59
Mn 0.1769 0.8231 0.2500  4 N 1.80-1.97
Mn 0.8231 0.1769 0.7500  4 N 1.80-1.97
N 0.0000 0.0000 0.0000  4 Pm 2.43
N 0.0000 0.0000 0.5000  4 Pm 2.43
N 0.2618 0.7382 0.1273  1 Mn 1.80
N 0.2618 0.7382 0.3727  1 Mn 1.80
N 0.3941 0.6059 0.7500  2 Mn 1.97
N 0.6059 0.3941 0.2500  2 Mn 1.97
N 0.7382 0.2618 0.6273  1 Mn 1.80
N 0.7382 0.2618 0.8727  1 Mn 1.80

The calculation puts the total DFT energy (no corrections) at -7.683 eV/atom. The space group is No. 63.

=====

Record 3
Here is crystalline NdSm3Cu at its relaxed geometry from the Alexandria database. Energies are from PBE.

Lattice parameters (Å, degrees): 5.5057 5.5057 5.5057 90.00 90.00 90.00
With the nearest neighbours (Å) after each atom.
Sites, in units of the cell vectors:
Nd 0.0000 0.0000 0.0000  12 Sm 3.89
Sm 0.0000 0.5000 0.5000  2 Cu 2.75
Sm 0.5000 0.0000 0.5000  2 Cu 2.75
Sm 0.5000 0.5000 0.0000  2 Cu 2.75
Cu 0.5000 0.5000 0.5000  6 Sm 2.75

The space group is No. 221. The calculation puts the energy of formation at 58 kJ/mol of formula units.

=====

Record 4
Here is crystalline GaCu4Hg at its relaxed geometry from the Alexandria database. Energies are from PBE.

Lattice parameters (Å, degrees): 4.9876 4.9876 4.9876 60.00 60.00 60.00
With the nearest neighbours (Å) after each atom.
Sites, in units of the cell vectors:
Ga 0.0000 0.0000 0.0000  12 Cu 2.92, 4 Hg 3.05
Cu 0.1239 0.6254 0.6254  6 Cu 2.49-2.50
Cu 0.6254 0.1239 0.6254  6 Cu 2.49-2.50
Cu 0.6254 0.6254 0.1239  6 Cu 2.49-2.50
Cu 0.6254 0.6254 0.6254  6 Cu 2.49-2.50
Hg 0.2500 0.2500 0.2500  12 Cu 2.93, 4 Ga 3.05

The space group is No. 216. The calculation puts the energy of formation at 41 kJ/mol of formula units.

=====

Record 5
Here is crystalline FeTcTeSe2 at its relaxed geometry from the Alexandria database. Energies are from PBE.

Lattice parameters (Å, degrees): 4.6678 4.6678 5.7980 90.00 90.00 90.00
With the nearest neighbours (Å) after each atom.
Sites, in units of the cell vectors:
Fe 0.0000 0.0000 0.0000  4 Te 3.30
Tc 0.5000 0.5000 0.5000  4 Se 2.33
Te 0.5000 0.5000 0.0000  2 Tc 2.90
Se 0.0000 0.5000 0.5000  2 Tc 2.33
Se 0.5000 0.0000 0.5000  2 Tc 2.33

The calculation puts the total DFT energy (no corrections) at -4.742 eV/atom. The space group is No. 123.

=====

Record 6
Here is crystalline K2SrC at its relaxed geometry from the Alexandria database. Energies are from PBE.

Lattice parameters (Å, degrees): 11.9728 11.9728 4.9718 90.00 90.00 90.00
With the nearest neighbours (Å) after each atom.
Sites, in units of the cell vectors:
K 0.0855 0.2500 0.1250  2 C 3.22
K 0.2500 0.5855 0.3750  2 C 3.22
K 0.2500 0.9145 0.8750  2 C 3.22
K 0.4145 0.2500 0.6250  2 C 3.22
K 0.5855 0.7500 0.6250  2 C 3.22
K 0.7500 0.0855 0.8750  2 C 3.22
K 0.7500 0.4145 0.3750  2 C 3.22
K 0.9145 0.7500 0.1250  2 C 3.22
Sr 0.0000 0.0000 0.5000  2 C 2.49
Sr 0.0000 0.5000 0.7500  2 C 2.49
Sr 0.5000 0.0000 0.2500  2 C 2.49
Sr 0.5000 0.5000 0.0000  2 C 2.49
C 0.0000 0.0000 0.0000  2 Sr 2.49
C 0.0000 0.5000 0.2500  2 Sr 2.49
C 0.5000 0.0000 0.7500  2 Sr 2.49
C 0.5000 0.5000 0.5000  2 Sr 2.49

The space group is No. 122. The calculation puts the energy of formation at 354 kJ/mol of formula units.

=====

Record 7
Here is crystalline SrAl2Si2O10 at its relaxed geometry from the Alexandria database. Energies are from PBE.

Lattice parameters (Å, degrees): 5.3573 13.2001 5.4403 90.00 113.47 90.00
With the nearest neighbours (Å) after each atom.
Sites, in units of the cell vectors:
Sr 0.1753 0.2500 0.3458  6 O 2.53-2.77
Sr 0.8247 0.7500 0.6542  6 O 2.53-2.77
Al 0.0000 0.0000 0.0000  6 O 1.88-1.98
Al 0.0000 0.5000 0.0000  6 O 1.88-1.98
Al 0.5000 0.0000 0.5000  6 O 1.86-2.01
Al 0.5000 0.5000 0.5000  6 O 1.86-2.01
Si 0.4938 0.6281 0.0252  4 O 1.63-1.66
Si 0.4938 0.8719 0.0252  4 O 1.63-1.66
Si 0.5062 0.1281 0.9748  4 O 1.63-1.66
Si 0.5062 0.3719 0.9748  4 O 1.63-1.66
O 0.1562 0.5658 0.3395  2 Al 1.91
O 0.1562 0.9342 0.3395  2 Al 1.91
O 0.1656 0.6084 0.8975  1 Si 1.63
O 0.1656 0.8916 0.8975  1 Si 1.63
O 0.2345 0.7500 0.4839  3 O 2.54-2.63, 1 Sr 2.70
O 0.3507 0.0735 0.1482  1 Si 1.65
O 0.3507 0.4265 0.1482  1 Si 1.65
O 0.3694 0.1008 0.6564  1 Si 1.63
O 0.3694 0.3992 0.6564  1 Si 1.63
O 0.4434 0.2500 0.0029  2 Si 1.66
O 0.5566 0.7500 0.9971  2 Si 1.66
O 0.6306 0.6008 0.3436  1 Si 1.63
O 0.6306 0.8992 0.3436  1 Si 1.63
O 0.6493 0.5735 0.8518  1 Si 1.65
O 0.6493 0.9265 0.8518  1 Si 1.65
O 0.7655 0.2500 0.5161  3 O 2.54-2.63, 1 Sr 2.70
O 0.8344 0.1084 0.1025  1 Si 1.63
O 0.8344 0.3916 0.1025  1 Si 1.63
O 0.8438 0.0658 0.6605  2 Al 1.91
O 0.8438 0.4342 0.6605  2 Al 1.91

The calculation puts the total DFT energy (no corrections) at -6.896 eV/atom. The space group is No. 11.

=====

Record 8
Here is crystalline LiPS2I at its relaxed geometry from the Alexandria database. Energies are from PBE.

Lattice parameters (Å, degrees): 5.2041 5.2041 5.2866 90.00 90.00 90.00
With the nearest neighbours (Å) after each atom.
Sites, in units of the cell vectors:
Li 0.0000 0.0000 0.0000  4 P 3.68, 8 S 3.71
P 0.5000 0.5000 0.0000  2 I 2.64
S 0.0000 0.5000 0.5000  2 I 2.60
S 0.5000 0.0000 0.5000  2 I 2.60
I 0.5000 0.5000 0.5000  4 S 2.60, 2 P 2.64

The calculation puts the total DFT energy (no corrections) at -2.667 eV/atom. The space group is No. 123.